A plane-wave DFT calculation with PBE-GGA was carried out for an optimized crystal structure of AgPOs4.

Output
As for the space group: No. 216. For the raw total energy, the calculation gives -46.5 eV/f.u. As for the calculated formation energy: 1.110 eV/atom.

a = 5.1899 Å, b = 5.1899 Å, c = 5.1899 Å
α = 60.00°, β = 60.00°, γ = 60.00°
Element x y z (fractional)
Os 0.3753 0.3753 0.3753
Os 0.3753 0.8741 0.3753
P 0.7500 0.7500 0.7500
Os 0.8741 0.3753 0.3753
Ag 0.0000 0.0000 0.0000
Os 0.3753 0.3753 0.8741